VASP calculation (PBE) on a relaxed structure of Pr6SnRh2I3.

```
12
Lattice="-5.169 1.679 5.218 4.017 -6.345 0.606 5.993 5.520 2.332" Properties=species:S:1:pos:R:3 pbc="T T T"
Pr 2.287 2.377 7.095
Pr 0.351 -2.210 4.544
Pr 2.554 -1.523 1.061
Pr 5.613 -0.529 5.425
Pr 4.490 3.064 3.612
Pr -0.772 1.383 2.731
Sn 0.000 0.000 0.000
Rh 0.963 -3.678 2.139
Rh -2.115 -0.989 3.685
I 5.550 -2.307 2.507
I -0.709 3.161 5.649
I 2.421 0.427 4.078
```

Properties
As for the uncorrected formation energy: -865 meV/atom. Its symmetry is C2/m (12). As for the calculated total energy: -0.191 hartree per atom. Its density of states at the Fermi level is 9.846 states/eV per cell.

VASP calculation (PBE) on a relaxed structure of Pr8SnRh3I4.

```
16
Lattice="-5.972 0.381 6.281 -5.654 -5.793 -5.025 7.997 -2.853 1.785" Properties=species:S:1:pos:R:3 pbc="T T T"
Pr 2.233 -6.615 -0.254
Pr -1.476 -5.291 -1.083
Pr 0.952 -3.233 1.101
Pr -0.536 -6.438 2.658
Pr -3.093 -1.827 0.383
Pr -4.581 -5.032 1.941
Pr -2.153 -2.973 4.125
Pr -5.862 -1.650 3.296
Sn -2.827 -2.896 -2.512
Rh -5.813 -2.706 0.628
Rh -1.814 -4.132 1.521
Rh 1.172 -4.323 -1.620
I -2.986 0.190 3.141
I 1.013 -1.236 4.033
I 0.000 0.000 0.000
I 3.999 -1.426 0.893
```

Properties
As for the uncorrected formation energy: -862 meV/atom. Its symmetry is R-3m (166). As for the calculated total energy: -0.194 hartree per atom. Its density of states at the Fermi level is 11.790 states/eV per cell.

VASP calculation (PBE) on a relaxed structure of TbPrRhI.

```
4
Lattice="4.133 0.000 0.000 -2.066 3.579 0.000 -2.066 -1.193 8.120" Properties=species:S:1:pos:R:3 pbc="T T T"
Tb -1.676 3.317 0.416
Pr 0.391 -0.262 5.548
Rh -1.676 0.931 7.120
I 2.456 0.932 2.908
```

Properties
As for the uncorrected formation energy: -936 meV/atom. Its symmetry is R3m (160). As for the calculated total energy: -0.203 hartree per atom. Its density of states at the Fermi level is 0.340 states/eV per cell.

VASP calculation (PBE) on a relaxed structure of Pr8TeRh3I4.

```
16
Lattice="-5.785 5.288 3.795 0.664 -5.035 8.027 7.375 3.260 -3.291" Properties=species:S:1:pos:R:3 pbc="T T T"
Pr 6.024 0.899 3.368
Pr 2.656 -0.590 4.870
Pr 2.640 1.622 1.764
Pr 3.382 3.314 5.101
Pr -1.128 0.198 3.431
Pr -0.387 1.890 6.768
Pr -0.402 4.102 3.662
Pr -3.771 2.614 5.165
Te 0.332 -2.518 4.014
Rh -2.561 0.126 5.911
Rh 1.127 1.756 4.266
Rh 4.020 -0.888 2.368
I -2.893 2.644 1.898
I 0.795 4.274 0.252
I 0.000 0.000 0.000
I 3.688 1.630 -1.645
```

Properties
As for the uncorrected formation energy: -944 meV/atom. Its symmetry is R-3m (166). As for the calculated total energy: -0.195 hartree per atom. Its density of states at the Fermi level is 9.086 states/eV per cell.

VASP calculation (PBE) on a relaxed structure of Pr6TlRh2I3.

```
12
Lattice="-5.541 2.063 4.621 -0.859 -5.992 -4.434 5.246 -3.456 5.787" Properties=species:S:1:pos:R:3 pbc="T T T"
Pr -1.447 -4.259 6.444
Pr -3.462 -3.422 1.254
Pr 0.294 -3.127 -0.470
Pr 0.262 -7.200 3.138
Pr 2.309 -3.964 4.720
Pr -1.416 -0.185 2.836
Tl 0.000 0.000 0.000
Rh -2.416 -3.313 -1.422
Rh -3.984 -0.616 1.609
I 1.014 -6.431 -0.091
I -2.168 -0.955 6.065
I -0.577 -3.693 2.987
```

Properties
As for the uncorrected formation energy: -800 meV/atom. Its symmetry is C2/m (12). As for the calculated total energy: -0.184 hartree per atom. Its density of states at the Fermi level is 7.928 states/eV per cell.

VASP calculation (PBE) on a relaxed structure of PrTmRhI.

```
4
Lattice="-0.987 -3.478 1.951 2.633 2.643 1.719 -6.361 5.208 1.738" Properties=species:S:1:pos:R:3 pbc="T T T"
Pr -4.446 2.182 2.455
Tm 2.085 2.431 1.882
Rh -4.450 4.965 3.090
I -2.224 -0.484 3.152
```

Properties
As for the uncorrected formation energy: -927 meV/atom. Its symmetry is R3m (160). As for the calculated total energy: -0.201 hartree per atom. Its density of states at the Fermi level is 0.059 states/eV per cell.

VASP calculation (PBE) on a relaxed structure of PrYRhI.

```
4
Lattice="4.139 -0.001 -0.001 -2.069 3.584 0.000 -2.070 -1.193 8.096" Properties=species:S:1:pos:R:3 pbc="T T T"
Pr 0.390 -0.260 5.546
Y -1.678 3.322 0.426
Rh -1.679 0.934 7.094
I 2.461 0.933 2.879
```

Properties
As for the uncorrected formation energy: -920 meV/atom. Its symmetry is R3m (160). As for the calculated total energy: -0.219 hartree per atom. Its density of states at the Fermi level is 0.492 states/eV per cell.

VASP calculation (PBE) on a relaxed structure of Pr6ZnRh2I3.

```
12
Lattice="7.399 0.002 0.000 -3.696 6.409 0.000 -1.235 -2.138 8.162" Properties=species:S:1:pos:R:3 pbc="T T T"
Pr 3.762 2.032 6.606
Pr 2.408 4.169 1.546
Pr -1.294 2.241 1.555
Pr -0.120 4.273 6.606
Pr 0.060 0.104 6.615
Pr 2.588 0.000 1.555
Zn 0.000 0.000 0.000
Rh -0.001 4.275 0.000
Rh 3.704 2.136 0.000
I -2.498 4.292 4.080
I 4.966 -0.019 4.080
I 1.234 2.136 4.080
```

Properties
As for the uncorrected formation energy: -794 meV/atom. Its symmetry is C2/m (12). As for the calculated total energy: -0.180 hartree per atom. Its density of states at the Fermi level is 8.342 states/eV per cell.